A geometry-optimized Y3Ag5H12 structure. Source: Alexandria, functional PBE.

Structure (CIF):
```
data_Y3Ag5H12
_chemical_formula_sum 'Y12 Ag20 H48'
_cell_length_a 10.5886
_cell_length_b 10.5886
_cell_length_c 10.5886
_cell_angle_alpha 109.47
_cell_angle_beta 109.47
_cell_angle_gamma 109.47
_space_group_name_H-M_alt 'P 1'
_space_group_IT_number 1
_space_group_name_Hall 'P 1'
loop_
_atom_site_label
_atom_site_type_symbol
_atom_site_fract_x
_atom_site_fract_y
_atom_site_fract_z
_atom_site_occupancy
Y1 Y 0.1250 0.2500 0.3750 1
Y2 Y 0.1250 0.3750 0.7500 1
Y3 Y 0.2500 0.3750 0.1250 1
Y4 Y 0.2500 0.8750 0.6250 1
Y5 Y 0.3750 0.1250 0.2500 1
Y6 Y 0.3750 0.7500 0.1250 1
Y7 Y 0.6250 0.2500 0.8750 1
Y8 Y 0.6250 0.8750 0.7500 1
Y9 Y 0.7500 0.1250 0.3750 1
Y10 Y 0.7500 0.6250 0.8750 1
Y11 Y 0.8750 0.6250 0.2500 1
Y12 Y 0.8750 0.7500 0.6250 1
Ag1 Ag 0.0000 0.0000 0.0000 1
Ag2 Ag 0.0000 0.0000 0.5000 1
Ag3 Ag 0.0000 0.5000 0.0000 1
Ag4 Ag 0.0000 0.5000 0.5000 1
Ag5 Ag 0.1250 0.7500 0.8750 1
Ag6 Ag 0.1250 0.8750 0.2500 1
Ag7 Ag 0.2500 0.1250 0.8750 1
Ag8 Ag 0.2500 0.6250 0.3750 1
Ag9 Ag 0.3750 0.2500 0.6250 1
Ag10 Ag 0.3750 0.6250 0.7500 1
Ag11 Ag 0.5000 0.0000 0.0000 1
Ag12 Ag 0.5000 0.0000 0.5000 1
Ag13 Ag 0.5000 0.5000 0.0000 1
Ag14 Ag 0.5000 0.5000 0.5000 1
Ag15 Ag 0.6250 0.3750 0.2500 1
Ag16 Ag 0.6250 0.7500 0.3750 1
Ag17 Ag 0.7500 0.3750 0.6250 1
Ag18 Ag 0.7500 0.8750 0.1250 1
Ag19 Ag 0.8750 0.1250 0.7500 1
Ag20 Ag 0.8750 0.2500 0.1250 1
H1 H 0.0438 0.2206 0.1358 1
H2 H 0.0438 0.3231 0.9079 1
H3 H 0.0848 0.7206 0.6769 1
H4 H 0.0848 0.8642 0.4079 1
H5 H 0.0921 0.6358 0.4152 1
H6 H 0.0921 0.9562 0.6769 1
H7 H 0.1358 0.0438 0.2206 1
H8 H 0.1358 0.5921 0.9152 1
H9 H 0.1769 0.2206 0.5848 1
H10 H 0.1769 0.4562 0.5921 1
H11 H 0.2206 0.1358 0.0438 1
H12 H 0.2206 0.5848 0.1769 1
H13 H 0.2794 0.3231 0.9152 1
H14 H 0.2794 0.4562 0.3642 1
H15 H 0.3231 0.9079 0.0438 1
H16 H 0.3231 0.9152 0.2794 1
H17 H 0.3642 0.2794 0.4562 1
H18 H 0.3642 0.5848 0.9079 1
H19 H 0.4079 0.0848 0.8642 1
H20 H 0.4079 0.8231 0.5438 1
H21 H 0.4152 0.0921 0.6358 1
H22 H 0.4152 0.8231 0.7794 1
H23 H 0.4562 0.3642 0.2794 1
H24 H 0.4562 0.5921 0.1769 1
H25 H 0.5438 0.4079 0.8231 1
H26 H 0.5438 0.6358 0.7206 1
H27 H 0.5848 0.1769 0.2206 1
H28 H 0.5848 0.9079 0.3642 1
H29 H 0.5921 0.1769 0.4562 1
H30 H 0.5921 0.9152 0.1358 1
H31 H 0.6358 0.4152 0.0921 1
H32 H 0.6358 0.7206 0.5438 1
H33 H 0.6769 0.0848 0.7206 1
H34 H 0.6769 0.0921 0.9562 1
H35 H 0.7206 0.5438 0.6358 1
H36 H 0.7206 0.6769 0.0848 1
H37 H 0.7794 0.4152 0.8231 1
H38 H 0.7794 0.8642 0.9562 1
H39 H 0.8231 0.5438 0.4079 1
H40 H 0.8231 0.7794 0.4152 1
H41 H 0.8642 0.4079 0.0848 1
H42 H 0.8642 0.9562 0.7794 1
H43 H 0.9079 0.0438 0.3231 1
H44 H 0.9079 0.3642 0.5848 1
H45 H 0.9152 0.1358 0.5921 1
H46 H 0.9152 0.2794 0.3231 1
H47 H 0.9562 0.6769 0.0921 1
H48 H 0.9562 0.7794 0.8642 1
```

Calculated values
- crystal system = cubic
- space group = Ia-3d (230)
- E_tot (eV/atom) = -3.85
- Fermi-level density of states (states/eV/cell) = 14.9

A geometry-optimized YAgH2 structure. Source: Alexandria, functional PBE.

Structure (CIF):
```
data_YAgH2
_chemical_formula_sum 'Y1 Ag1 H2'
_cell_length_a 4.1773
_cell_length_b 4.1773
_cell_length_c 4.1773
_cell_angle_alpha 60.00
_cell_angle_beta 60.00
_cell_angle_gamma 60.00
_space_group_name_H-M_alt 'P 1'
_space_group_IT_number 1
_space_group_name_Hall 'P 1'
loop_
_atom_site_label
_atom_site_type_symbol
_atom_site_fract_x
_atom_site_fract_y
_atom_site_fract_z
_atom_site_occupancy
Y1 Y 0.0000 0.0000 0.0000 1
Ag1 Ag 0.5000 0.5000 0.5000 1
H1 H 0.2500 0.2500 0.2500 1
H2 H 0.7500 0.7500 0.7500 1
```

Calculated values
- crystal system = cubic
- space group = Fm-3m (225)
- E_tot (eV/atom) = -4.16
- Fermi-level density of states (states/eV/cell) = 2.0

A geometry-optimized YZr2AgH structure. Source: Alexandria, functional PBE.

Structure (CIF):
```
data_YZr2AgH
_chemical_formula_sum 'Y1 Zr2 Ag1 H1'
_cell_length_a 4.4394
_cell_length_b 4.4394
_cell_length_c 4.8125
_cell_angle_alpha 90.00
_cell_angle_beta 90.00
_cell_angle_gamma 90.00
_space_group_name_H-M_alt 'P 1'
_space_group_IT_number 1
_space_group_name_Hall 'P 1'
loop_
_atom_site_label
_atom_site_type_symbol
_atom_site_fract_x
_atom_site_fract_y
_atom_site_fract_z
_atom_site_occupancy
Y1 Y 0.0000 0.0000 0.0000 1
Zr1 Zr 0.0000 0.5000 0.5000 1
Zr2 Zr 0.5000 0.0000 0.5000 1
Ag1 Ag 0.5000 0.5000 0.0000 1
H1 H 0.0000 0.0000 0.5000 1
```

Calculated values
- crystal system = tetragonal
- space group = P4/mmm (123)
- E_tot (eV/atom) = -6.05
- Fermi-level density of states (states/eV/cell) = 6.8

A geometry-optimized Zn2AgH2 structure. Source: Alexandria, functional PBE.

Structure (CIF):
```
data_Zn2AgH2
_chemical_formula_sum 'Zn2 Ag1 H2'
_cell_length_a 4.3356
_cell_length_b 4.3356
_cell_length_c 4.3356
_cell_angle_alpha 112.77
_cell_angle_beta 112.77
_cell_angle_gamma 103.05
_space_group_name_H-M_alt 'P 1'
_space_group_IT_number 1
_space_group_name_Hall 'P 1'
loop_
_atom_site_label
_atom_site_type_symbol
_atom_site_fract_x
_atom_site_fract_y
_atom_site_fract_z
_atom_site_occupancy
Zn1 Zn 0.2500 0.7500 0.5000 1
Zn2 Zn 0.7500 0.2500 0.5000 1
Ag1 Ag 0.0000 0.0000 0.0000 1
H1 H 0.3164 0.3164 0.0000 1
H2 H 0.6836 0.6836 0.0000 1
```

Calculated values
- crystal system = tetragonal
- space group = I4/mmm (139)
- E_tot (eV/atom) = -2.09
- Fermi-level density of states (states/eV/cell) = 1.1